Entry 1:
A relaxed BaSrAg2 crystal. Source: the Alexandria database, functional GGA-PBEsol.

Cell: 4.4861 4.7684 6.4543 Å, 90.00 110.34 90.00°
Positions (direct):
Ba  0.4820  0.0000  0.9640
Ag  0.1940  0.0000  0.3880
Ag  0.0613  0.5000  0.1226
Sr  0.7613  0.5000  0.5225

Computed properties:
The space-group type is Amm2 (38). For the calculated formation energy, the calculation gives -0.239 eV per atom. As for the total energy: -2.89 eV/atom.

Entry 2:
A relaxed Rb2Li14Pb3O14 crystal. Source: the Alexandria database, functional GGA-PBEsol.

Cell: 7.2832 8.3774 7.9657 Å, 118.39 90.00 115.77°
Positions (direct):
O  0.8727  0.7454  0.0597
Li  0.2309  0.4618  0.5853
O  0.3714  0.7427  0.5897
Rb  0.2357  0.0000  0.5000
O  0.1273  0.2546  0.9403
Li  0.5935  0.7311  0.0220
Li  0.4065  0.2689  0.2909
O  0.4571  0.4984  0.7492
Li  0.7691  0.5382  0.1235
O  0.6286  0.2573  0.8470
O  0.2957  0.0000  0.0000
Rb  0.7643  0.0000  0.5000
Li  0.7691  0.5382  0.4147
O  0.3714  0.7427  0.1530
Pb  0.0000  0.0000  0.0000
O  0.9587  0.5016  0.2508
Li  0.2309  0.4618  0.8765
O  0.5429  0.5016  0.2508
Pb  0.7283  0.4565  0.7283
O  0.0413  0.4984  0.7492
Li  0.1377  0.7311  0.7091
Li  0.5000  0.0000  0.1582
O  0.1273  0.2546  0.3144
Li  0.8623  0.2689  0.2909
Li  0.1377  0.7311  0.0220
Li  0.5935  0.7311  0.7091
Li  0.8623  0.2689  0.9780
O  0.8727  0.7454  0.6856
Pb  0.2717  0.5435  0.2717
Li  0.4065  0.2689  0.9780
O  0.7043  0.0000  0.0000
Li  0.5000  0.0000  0.8418
O  0.6286  0.2573  0.4103

Computed properties:
For the formation energy without anion corrections, the calculation gives -1636.1 meV per atom. The space-group type is Immm (71). As for the total energy: -5.12 eV/atom.

Entry 3:
A relaxed Ag2SbPb crystal. Source: the Alexandria database, functional GGA-PBEsol.

Cell: 3.4251 5.1294 5.1294 Å, 101.88 90.00 90.00°
Positions (direct):
Ag  0.0000  0.5000  0.0000
Sb  0.5000  0.5000  0.5000
Ag  0.0000  0.0000  0.5000
Pb  0.5000  0.0000  0.0000

Computed properties:
For the formation energy without anion corrections, the calculation gives 130.7 meV per atom. The space-group type is Cmmm (65). As for the total energy: -3.66 eV/atom.

Entry 4:
A relaxed FeCo3 crystal. Source: the Alexandria database, functional GGA-PBEsol.

Cell: 3.4826 3.4826 3.4826 Å, 90.00 90.00 90.00°
Positions (direct):
Fe  0.0000  0.0000  0.0000
Co  0.5000  0.5000  0.0000
Co  0.5000  0.0000  0.5000
Co  0.0000  0.5000  0.5000

Computed properties:
The space-group type is Pm-3m (221). For the calculated formation energy, the calculation gives 0.031 eV per atom. As for the total energy: -8.01 eV/atom.